(1)
Material: Rb5In6Ga
Method: DFT, PBE-GGA
State: optimized geometry

Summary:
Magnetic moment   0.00 μB per formula unit
Calculated total energy   -2.095 eV per atom

CIF file:
```
data_Rb5In6Ga
_symmetry_space_group_name_H-M 'C 1 2/m 1'
_symmetry_Int_Tables_number 12
_symmetry_space_group_name_Hall '-C 2y'
_cell_length_a 7.8395
_cell_length_b 17.0249
_cell_length_c 8.8178
_cell_angle_alpha 90.00
_cell_angle_beta 113.34
_cell_angle_gamma 90.00
loop_
_atom_site_label
_atom_site_type_symbol
_atom_site_fract_x
_atom_site_fract_y
_atom_site_fract_z
Rb1 Rb 0.0000 0.0000 0.0000
Rb2 Rb 0.0000 0.2790 0.0000
Rb3 Rb 0.0000 0.3568 0.5000
In1 In 0.0913 0.1396 0.6811
In2 In 0.1360 0.5000 0.1913
Ga1 Ga 0.0000 0.0000 0.5000
```



(2)
Material: RbIn3Ga
Method: DFT, PBE-GGA
State: optimized geometry

Summary:
Magnetic moment   0.00 μB per formula unit
Calculated total energy   -2.327 eV per atom

CIF file:
```
data_RbIn3Ga
_symmetry_space_group_name_H-M 'P m -3 m'
_symmetry_Int_Tables_number 221
_symmetry_space_group_name_Hall '-P 4 2 3'
_cell_length_a 5.5853
_cell_length_b 5.5853
_cell_length_c 5.5853
_cell_angle_alpha 90.00
_cell_angle_beta 90.00
_cell_angle_gamma 90.00
loop_
_atom_site_label
_atom_site_type_symbol
_atom_site_fract_x
_atom_site_fract_y
_atom_site_fract_z
Rb1 Rb 0.0000 0.0000 0.0000
In1 In 0.0000 0.5000 0.5000
Ga1 Ga 0.5000 0.5000 0.5000
```



(3)
Material: Rb2InGa4
Method: DFT, PBE-GGA
State: optimized geometry

Summary:
Magnetic moment   0.00 μB per formula unit
Calculated total energy   -2.113 eV per atom

CIF file:
```
data_Rb2InGa4
_symmetry_space_group_name_H-M 'I 4/m m m'
_symmetry_Int_Tables_number 139
_symmetry_space_group_name_Hall '-I 4 2'
_cell_length_a 5.5526
_cell_length_b 5.5526
_cell_length_c 18.2357
_cell_angle_alpha 90.00
_cell_angle_beta 90.00
_cell_angle_gamma 90.00
loop_
_atom_site_label
_atom_site_type_symbol
_atom_site_fract_x
_atom_site_fract_y
_atom_site_fract_z
Rb1 Rb 0.0000 0.0000 0.1479
In1 In 0.0000 0.0000 0.5000
Ga1 Ga 0.0000 0.0000 0.3518
Ga2 Ga 0.0000 0.5000 0.0000
```



(4)
Material: Rb2In5Ga3
Method: DFT, PBE-GGA
State: optimized geometry

Summary:
Magnetic moment   0.00 μB per formula unit
Calculated total energy   -2.580 eV per atom

CIF file:
```
data_Rb2In5Ga3
_symmetry_space_group_name_H-M 'I b a m'
_symmetry_Int_Tables_number 72
_symmetry_space_group_name_Hall '-I 2 2c'
_cell_length_a 12.1037
_cell_length_b 13.9004
_cell_length_c 6.9077
_cell_angle_alpha 90.00
_cell_angle_beta 90.00
_cell_angle_gamma 90.00
loop_
_atom_site_label
_atom_site_type_symbol
_atom_site_fract_x
_atom_site_fract_y
_atom_site_fract_z
Rb1 Rb 0.2473 0.1270 0.0000
In1 In 0.0000 0.2577 0.2500
In2 In 0.0000 0.5000 0.2500
In3 In 0.1340 0.1178 0.5000
Ga1 Ga 0.0000 0.0000 0.2500
Ga2 Ga 0.1343 0.3786 0.0000
```



(5)
Material: RbIn5Ga3
Method: DFT, PBE-GGA
State: optimized geometry

Summary:
Magnetic moment   0.00 μB per formula unit
Calculated total energy   -2.650 eV per atom

CIF file:
```
data_RbIn5Ga3
_symmetry_space_group_name_H-M 'C m c m'
_symmetry_Int_Tables_number 63
_symmetry_space_group_name_Hall '-C 2c 2'
_cell_length_a 4.6620
_cell_length_b 15.6650
_cell_length_c 14.3594
_cell_angle_alpha 90.00
_cell_angle_beta 90.00
_cell_angle_gamma 90.00
loop_
_atom_site_label
_atom_site_type_symbol
_atom_site_fract_x
_atom_site_fract_y
_atom_site_fract_z
Rb1 Rb 0.0000 0.1665 0.2500
In1 In 0.0000 0.0000 0.0000
In2 In 0.0000 0.1949 0.5718
In3 In 0.0000 0.4651 0.1457
Ga1 Ga 0.0000 0.1118 0.7500
Ga2 Ga 0.0000 0.3746 0.5393
```



(6)
Material: RbIn3Ga
Method: DFT, PBE-GGA
State: optimized geometry

Summary:
Magnetic moment   0.00 μB per formula unit
Calculated total energy   -2.439 eV per atom

CIF file:
```
data_RbIn3Ga
_symmetry_space_group_name_H-M 'P 63/m m c'
_symmetry_Int_Tables_number 194
_symmetry_space_group_name_Hall '-P 6c 2c'
_cell_length_a 7.5195
_cell_length_b 7.5195
_cell_length_c 6.3813
_cell_angle_alpha 90.00
_cell_angle_beta 90.00
_cell_angle_gamma 120.00
loop_
_atom_site_label
_atom_site_type_symbol
_atom_site_fract_x
_atom_site_fract_y
_atom_site_fract_z
Rb1 Rb 0.3333 0.6667 0.2500
In1 In 0.1855 0.3710 0.7500
Ga1 Ga 0.0000 0.0000 0.0000
```



(7)
Material: Rb3In4Ga2
Method: DFT, PBE-GGA
State: optimized geometry

Summary:
Magnetic moment   0.00 μB per formula unit
Calculated total energy   -2.286 eV per atom

CIF file:
```
data_Rb3In4Ga2
_symmetry_space_group_name_H-M 'C 1 2/c 1'
_symmetry_Int_Tables_number 15
_symmetry_space_group_name_Hall '-C 2yc'
_cell_length_a 18.0290
_cell_length_b 10.3005
_cell_length_c 7.5988
_cell_angle_alpha 90.00
_cell_angle_beta 112.57
_cell_angle_gamma 90.00
loop_
_atom_site_label
_atom_site_type_symbol
_atom_site_fract_x
_atom_site_fract_y
_atom_site_fract_z
Rb1 Rb 0.0000 0.0108 0.2500
Rb2 Rb 0.1016 0.3841 0.1077
In1 In 0.1364 0.2369 0.6390
In2 In 0.2190 0.1104 0.0458
Ga1 Ga 0.2257 0.1345 0.4166
```



(8)
Material: RbIn3Ga2
Method: DFT, PBE-GGA
State: optimized geometry

Summary:
Magnetic moment   0.00 μB per formula unit
Calculated total energy   -2.567 eV per atom

CIF file:
```
data_RbIn3Ga2
_symmetry_space_group_name_H-M 'C 1 2/m 1'
_symmetry_Int_Tables_number 12
_symmetry_space_group_name_Hall '-C 2y'
_cell_length_a 18.7732
_cell_length_b 4.6620
_cell_length_c 7.9857
_cell_angle_alpha 90.00
_cell_angle_beta 96.12
_cell_angle_gamma 90.00
loop_
_atom_site_label
_atom_site_type_symbol
_atom_site_fract_x
_atom_site_fract_y
_atom_site_fract_z
Rb1 Rb 0.1110 0.0000 0.1993
In1 In 0.0630 0.0000 0.6605
In2 In 0.1664 0.5000 0.5380
In3 In 0.1930 0.5000 0.9297
Ga1 Ga 0.0412 0.5000 0.8682
Ga2 Ga 0.2338 0.0000 0.7207
```